Entry 1:
Compound: KFe2Re
Source: Alexandria via LeMat-Bulk
Functional: PBE
Structure: relaxed

Values from the calculation:
Fermi-level density of states = 1.128 states/eV per atom
excess energy over the best structure of this formula in the dataset = 114 meV per atom
formation enthalpy at 0 K = 0.8251 eV/atom

a b c (Å): 4.497 4.497 6.962
angles (deg): 87.17 87.17 35.32
Each line ends with the local moment (μB).
Positions (direct):
1 Re 0.750 0.750 0.750  -0.22
2 Fe 0.012 0.012 0.883  2.29
3 Fe 0.488 0.488 0.617  2.29
4 K 0.250 0.250 0.250  0.00



Entry 2:
Compound: KScFeRe2
Source: Alexandria via LeMat-Bulk
Functional: PBE
Structure: relaxed

Values from the calculation:
Fermi-level density of states = 1.061 states/eV per atom
excess energy over the best structure of this formula in the dataset = 0 meV per atom
formation enthalpy at 0 K = 1.1768 eV/atom

a b c (Å): 4.558 4.968 4.558
angles (deg): 90.00 90.00 90.00
Each line ends with the local moment (μB).
Positions (direct):
1 Re 0.000 0.000 0.500  0.45
2 Re 0.500 0.000 0.000  0.31
3 K 0.500 0.500 0.500  0.01
4 Fe 0.000 0.000 0.000  0.11
5 Sc 0.000 0.500 0.000  -0.06



Entry 3:
Compound: KScFeRe2
Source: Alexandria via LeMat-Bulk
Functional: PBE
Structure: relaxed

Values from the calculation:
Fermi-level density of states = 1.354 states/eV per atom
excess energy over the best structure of this formula in the dataset = 1016 meV per atom
formation enthalpy at 0 K = 2.1926 eV/atom

a b c (Å): 4.888 4.981 4.888
angles (deg): 90.00 90.00 90.00
Each line ends with the local moment (μB).
Positions (direct):
1 Re 0.000 0.000 0.500  1.44
2 Re 0.500 0.000 0.000  1.73
3 Sc 0.000 0.000 0.000  -0.15
4 K 0.500 0.500 0.500  0.01
5 Fe 0.000 0.500 0.000  2.94



Entry 4:
Compound: K2ZrFeRe
Source: Alexandria via LeMat-Bulk
Functional: PBE
Structure: relaxed

Values from the calculation:
Fermi-level density of states = 1.177 states/eV per atom
formation enthalpy at 0 K = 2.0592 eV/atom

a b c (Å): 5.840 4.759 5.840
angles (deg): 90.00 90.00 90.00
Each line ends with the local moment (μB).
Positions (direct):
1 Re 0.500 0.500 0.500  3.30
2 Zr 0.000 0.500 0.000  -0.94
3 Fe 0.000 0.000 0.000  1.89
4 K 0.500 0.000 0.000  -0.01
5 K 0.000 0.000 0.500  -0.02



Entry 5:
Compound: K4FeRh
Source: Alexandria via LeMat-Bulk
Functional: PBE
Structure: relaxed

Values from the calculation:
Fermi-level density of states = 1.910 states/eV per atom
formation enthalpy at 0 K = 1.2425 eV/atom

a b c (Å): 6.637 6.637 6.637
angles (deg): 60.00 60.00 60.00
Each line ends with the local moment (μB).
Positions (direct):
1 K 0.873 0.376 0.376  -0.01
2 K 0.376 0.376 0.376  -0.01
3 K 0.376 0.376 0.873  -0.01
4 K 0.376 0.873 0.376  -0.01
5 Rh 0.750 0.750 0.750  0.56
6 Fe 0.000 0.000 0.000  3.18



Entry 6:
Compound: KFeRh3
Source: Alexandria via LeMat-Bulk
Functional: PBE
Structure: relaxed

Values from the calculation:
Fermi-level density of states = 1.420 states/eV per atom
excess energy over the best structure of this formula in the dataset = 1458 meV per atom
formation enthalpy at 0 K = 2.3774 eV/atom

a b c (Å): 4.645 4.645 4.645
angles (deg): 90.00 90.00 90.00
Each line ends with the local moment (μB).
Positions (direct):
1 Rh 0.000 0.000 0.500  0.53
2 Rh 0.000 0.500 0.000  0.69
3 Rh 0.500 0.000 0.000  0.79
4 Fe 0.500 0.500 0.500  3.42
5 K 0.000 0.000 0.000  -0.01



Entry 7:
Compound: KFeRh2
Source: Alexandria via LeMat-Bulk
Functional: PBE
Structure: relaxed

Values from the calculation:
Fermi-level density of states = 1.307 states/eV per atom
excess energy over the best structure of this formula in the dataset = 120 meV per atom
formation enthalpy at 0 K = 0.4864 eV/atom

a b c (Å): 2.797 3.746 7.537
angles (deg): 90.00 90.00 90.00
Each line ends with the local moment (μB).
Positions (direct):
1 Rh 0.000 0.000 0.077  0.45
2 Rh 0.500 0.500 0.269  0.43
3 K 0.500 0.500 0.755  0.01
4 Fe 0.000 0.000 0.399  2.95



Entry 8:
Compound: KFeRh2
Source: Alexandria via LeMat-Bulk
Functional: PBE
Structure: relaxed

Values from the calculation:
Fermi-level density of states = 1.124 states/eV per atom
excess energy over the best structure of this formula in the dataset = 282 meV per atom
formation enthalpy at 0 K = 0.6478 eV/atom

a b c (Å): 5.681 5.681 5.681
angles (deg): 151.27 125.50 62.77
Each line ends with the local moment (μB).
Positions (direct):
1 K 0.250 0.750 0.500  -0.01
2 Rh 0.961 0.961 0.000  0.62
3 Rh 0.539 0.539 0.000  0.62
4 Fe 0.750 0.250 0.500  2.96



Entry 9:
Compound: KFeRh
Source: Alexandria via LeMat-Bulk
Functional: PBE
Structure: relaxed

Values from the calculation:
Fermi-level density of states = 0.793 states/eV per atom
excess energy over the best structure of this formula in the dataset = 102 meV per atom
formation enthalpy at 0 K = 0.4106 eV/atom

a b c (Å): 4.994 4.403 6.565
angles (deg): 89.99 112.57 90.00
Each line ends with the local moment (μB).
Positions (direct):
1 Fe 0.853 0.217 0.599  2.82
2 Fe 0.353 0.217 0.599  2.82
3 K 0.354 0.718 0.099  -0.02
4 K 0.854 0.218 0.099  -0.01
5 Rh 0.076 0.717 0.546  0.39
6 Rh 0.629 0.717 0.651  0.39



Entry 10:
Compound: K2FeRh
Source: Alexandria via LeMat-Bulk
Functional: PBE
Structure: relaxed

Values from the calculation:
Fermi-level density of states = 0.915 states/eV per atom
excess energy over the best structure of this formula in the dataset = 177 meV per atom
formation enthalpy at 0 K = 0.6322 eV/atom

a b c (Å): 6.523 6.523 6.523
angles (deg): 146.55 127.81 63.42
Each line ends with the local moment (μB).
Positions (direct):
1 Fe 0.318 0.818 0.500  3.07
2 K 0.019 0.019 0.000  -0.01
3 K 0.722 0.222 0.500  0.00
4 Rh 0.442 0.442 0.000  0.74



Entry 11:
Compound: K2FeRh
Source: Alexandria via LeMat-Bulk
Functional: PBE
Structure: relaxed

Values from the calculation:
Fermi-level density of states = 0.878 states/eV per atom
excess energy over the best structure of this formula in the dataset = 575 meV per atom
formation enthalpy at 0 K = 1.0298 eV/atom

a b c (Å): 6.117 6.117 2.896
angles (deg): 90.00 90.00 124.35
Each line ends with the local moment (μB).
Positions (direct):
1 K 0.000 0.000 0.000  -0.03
2 K 0.500 0.500 0.000  -0.03
3 Fe 0.000 0.500 0.500  2.94
4 Rh 0.500 0.000 0.500  0.68



Entry 12:
Compound: KFeRh
Source: Alexandria via LeMat-Bulk
Functional: PBE
Structure: relaxed

Values from the calculation:
Fermi-level density of states = 1.208 states/eV per atom
excess energy over the best structure of this formula in the dataset = 618 meV per atom
formation enthalpy at 0 K = 0.9270 eV/atom

a b c (Å): 4.957 4.957 5.406
angles (deg): 90.00 90.00 120.00
Each line ends with the local moment (μB).
Positions (direct):
1 Rh 0.667 0.333 0.999  0.70
2 Rh 0.333 0.667 0.499  0.70
3 Fe 0.333 0.667 0.001  3.21
4 Fe 0.667 0.333 0.501  3.20
5 K 0.000 0.000 0.750  0.00
6 K 0.000 0.000 0.250  -0.01



Entry 13:
Compound: KFeRh2
Source: Alexandria via LeMat-Bulk
Functional: PBE
Structure: relaxed

Values from the calculation:
Fermi-level density of states = 1.113 states/eV per atom
excess energy over the best structure of this formula in the dataset = 114 meV per atom
formation enthalpy at 0 K = 0.4803 eV/atom

a b c (Å): 4.286 4.286 7.141
angles (deg): 83.92 83.92 38.86
Each line ends with the local moment (μB).
Positions (direct):
1 K 0.250 0.250 0.250  0.00
2 Rh 0.023 0.023 0.906  0.68
3 Rh 0.477 0.477 0.594  0.68
4 Fe 0.750 0.750 0.750  3.12



Entry 14:
Compound: K2FeRh
Source: Alexandria via LeMat-Bulk
Functional: PBE
Structure: relaxed

Values from the calculation:
Fermi-level density of states = 1.182 states/eV per atom
excess energy over the best structure of this formula in the dataset = 532 meV per atom
formation enthalpy at 0 K = 0.9868 eV/atom

a b c (Å): 5.099 5.099 5.099
angles (deg): 120.03 120.03 89.94
Each line ends with the local moment (μB).
Positions (direct):
1 K 0.250 0.750 0.500  0.00
2 K 0.000 0.000 0.000  0.00
3 Fe 0.750 0.250 0.500  3.21
4 Rh 0.500 0.500 0.000  0.78



Entry 15:
Compound: KFeRh2
Source: Alexandria via LeMat-Bulk
Functional: PBE
Structure: relaxed

Values from the calculation:
Fermi-level density of states = 1.343 states/eV per atom
excess energy over the best structure of this formula in the dataset = 196 meV per atom
formation enthalpy at 0 K = 0.5619 eV/atom

a b c (Å): 2.818 2.818 9.149
angles (deg): 90.00 90.00 90.01
Each line ends with the local moment (μB).
Positions (direct):
1 K 0.500 0.500 0.764  -0.01
2 Rh 0.500 0.500 0.252  0.15
3 Rh 0.000 0.000 0.052  -0.55
4 Fe 0.000 0.000 0.432  2.92



Entry 16:
Compound: KFeRh
Source: Alexandria via LeMat-Bulk
Functional: PBE
Structure: relaxed

Values from the calculation:
Fermi-level density of states = 1.701 states/eV per atom
excess energy over the best structure of this formula in the dataset = 779 meV per atom
formation enthalpy at 0 K = 1.0880 eV/atom

a b c (Å): 4.522 4.522 7.487
angles (deg): 90.00 90.00 120.00
Positions (direct):
1 K 0.667 0.333 0.000
2 K 0.667 0.333 0.500
3 Fe 0.333 0.667 0.862
4 Fe 0.333 0.667 0.138
5 Rh 0.000 0.000 0.169
6 Rh 0.000 0.000 0.831



Entry 17:
Compound: KFeRh2
Source: Alexandria via LeMat-Bulk
Functional: PBE
Structure: relaxed

Values from the calculation:
Fermi-level density of states = 1.204 states/eV per atom
excess energy over the best structure of this formula in the dataset = 484 meV per atom
formation enthalpy at 0 K = 0.8504 eV/atom

a b c (Å): 2.718 5.286 5.643
angles (deg): 55.87 90.00 90.00
Each line ends with the local moment (μB).
Positions (direct):
1 Rh 0.000 0.000 0.000  0.41
2 Rh 0.500 0.500 0.000  0.60
3 K 0.000 0.000 0.500  -0.01
4 Fe 0.500 0.500 0.500  3.08



Entry 18:
Compound: KFeRh2
Source: Alexandria via LeMat-Bulk
Functional: PBE
Structure: relaxed

Values from the calculation:
Fermi-level density of states = 1.204 states/eV per atom
excess energy over the best structure of this formula in the dataset = 546 meV per atom
formation enthalpy at 0 K = 0.9124 eV/atom

a b c (Å): 2.816 4.945 4.819
angles (deg): 90.00 90.00 90.00
Each line ends with the local moment (μB).
Positions (direct):
1 K 0.000 0.500 0.500  -0.01
2 Rh 0.000 0.000 0.000  0.54
3 Rh 0.500 0.500 0.000  0.58
4 Fe 0.500 0.000 0.500  3.03



Entry 19:
Compound: K2FeRh
Source: Alexandria via LeMat-Bulk
Functional: PBE
Structure: relaxed

Values from the calculation:
Fermi-level density of states = 1.016 states/eV per atom
excess energy over the best structure of this formula in the dataset = 23 meV per atom
formation enthalpy at 0 K = 0.4781 eV/atom

a b c (Å): 10.239 10.239 3.754
angles (deg): 79.38 79.38 18.61
Each line ends with the local moment (μB).
Positions (direct):
1 Fe 0.250 0.250 0.250  3.12
2 K 0.105 0.105 0.895  0.00
3 K 0.395 0.395 0.605  0.00
4 Rh 0.750 0.750 0.750  0.66



Entry 20:
Compound: K2FeRh
Source: Alexandria via LeMat-Bulk
Functional: PBE
Structure: relaxed

Values from the calculation:
Fermi-level density of states = 0.686 states/eV per atom
excess energy over the best structure of this formula in the dataset = 505 meV per atom
formation enthalpy at 0 K = 0.9597 eV/atom

a b c (Å): 5.394 4.073 4.073
angles (deg): 90.00 90.00 90.00
Each line ends with the local moment (μB).
Positions (direct):
1 K 0.000 0.000 0.000  -0.02
2 K 0.000 0.500 0.500  -0.02
3 Rh 0.500 0.500 0.000  0.54
4 Fe 0.500 0.000 0.500  3.09